No. 1
! PBE-GGA MgMn3Pt3, relaxed; values from VASP
&SYSTEM
  ibrav = 0, nat = 14, ntyp = 3
/
ATOMIC_SPECIES
Mn 54.94 Mn.upf
Mg 24.30 Mg.upf
Pt 195.08 Pt.upf
ATOMIC_POSITIONS crystal
Mn 0.253 0.253 0.500
Mn 0.244 0.756 0.000
Mn 0.747 0.747 0.500
Mn 0.260 0.740 0.500
Mn 0.740 0.260 0.500
Mn 0.756 0.244 0.000
Mg 0.725 0.725 0.000
Mg 0.275 0.275 0.000
Pt 0.000 0.000 0.252
Pt 0.500 0.000 0.252
Pt 0.000 0.500 0.252
Pt 0.000 0.000 0.748
Pt 0.000 0.500 0.748
Pt 0.500 0.000 0.748
CELL_PARAMETERS angstrom
6.374 -0.064 -0.001
-0.049 6.374 -0.001
0.001 0.001 5.801
! **Energy of formation**: -284 meV/atom

=====

No. 2
! PBE-GGA Mg4MnPt, relaxed; values from VASP
&SYSTEM
  ibrav = 0, nat = 6, ntyp = 3
/
ATOMIC_SPECIES
Mg 24.30 Mg.upf
Pt 195.08 Pt.upf
Mn 54.94 Mn.upf
ATOMIC_POSITIONS crystal
Mg 0.876 0.375 0.375
Mg 0.375 0.375 0.876
Mg 0.375 0.375 0.375
Mg 0.375 0.876 0.375
Pt 0.000 0.000 0.000
Mn 0.750 0.750 0.750
CELL_PARAMETERS angstrom
-1.205 -5.289 -0.056
-1.012 -2.600 4.652
-5.040 -1.646 1.146
! **Energy of formation**: 179 meV/atom